Density functional theory data (PBE) for a relaxed structure of ZrPa3Ga12.

Values from the calculation:
space-group type: P4/mmm, No. 123
V: 19.3 A^3/atom
M_tot: 0.000 μB/atom
energy of formation from the pure elements: -0.41 eV/atom
calculated density: 8.724 g cm⁻³

a = 4.259 Å, b = 4.259 Å, c = 17.007 Å
α = 90.00°, β = 90.00°, γ = 90.00°
Element x y z (fractional)
Zr 0.000 0.000 0.000
Pa 0.000 0.000 0.245
Pa 0.000 0.000 0.500
Pa 0.000 0.000 0.755
Ga 0.000 0.500 0.119
Ga 0.000 0.500 0.373
Ga 0.000 0.500 0.627
Ga 0.000 0.500 0.881
Ga 0.500 0.000 0.119
Ga 0.500 0.000 0.373
Ga 0.500 0.000 0.627
Ga 0.500 0.000 0.881
Ga 0.500 0.500 0.000
Ga 0.500 0.500 0.249
Ga 0.500 0.500 0.500
Ga 0.500 0.500 0.751